(1)
{"formula": "Ac6Si2SeI3", "functional": "PBE", "state": "optimized geometry", "lattice": [[10.465, -2.289, 0.000], [10.465, 2.289, 0.000], [-3.006, 0.000, 9.167]], "species": ["Ac", "Ac", "Ac", "Ac", "Ac", "Ac", "Si", "Si", "Se", "I", "I", "I"], "frac_coords": [[0.013, 0.013, 0.226], [0.321, 0.321, 0.445], [0.343, 0.343, 0.886], [0.657, 0.657, 0.114], [0.679, 0.679, 0.555], [0.987, 0.987, 0.774], [0.165, 0.165, 0.330], [0.835, 0.835, 0.670], [0.500, 0.500, 0.000], [0.167, 0.167, 0.832], [0.500, 0.500, 0.500], [0.833, 0.833, 0.168]], "e_tot_ev_per_atom": -4.727, "space_group": "C2/m", "dos_at_fermi_per_ev_fu": 6.6, "total_magnetization_mub_per_fu": 0.00, "raw_formation_energy_ev_per_atom": -1.09}

(2)
{"formula": "Na2TePbSe4", "functional": "PBE", "state": "optimized geometry", "lattice": [[-4.212, 4.329, 6.023], [4.212, -4.329, 6.023], [4.212, 4.329, -6.023]], "species": ["Na", "Na", "Na", "Na", "Te", "Te", "Pb", "Pb", "Se", "Se", "Se", "Se", "Se", "Se", "Se", "Se"], "frac_coords": [[0.000, 0.000, 0.000], [0.500, 0.000, 0.000], [0.500, 0.000, 0.500], [0.500, 0.500, 0.500], [0.000, 0.000, 0.500], [0.000, 0.500, 0.000], [0.000, 0.500, 0.500], [0.500, 0.500, 0.000], [0.222, 0.245, 0.978], [0.233, 0.755, 0.478], [0.235, 0.229, 0.494], [0.235, 0.741, 0.006], [0.765, 0.259, 0.994], [0.765, 0.771, 0.506], [0.767, 0.245, 0.522], [0.778, 0.755, 0.022]], "e_tot_ev_per_atom": -3.495, "space_group": "Imma", "dos_at_fermi_per_ev_fu": 1.8, "total_magnetization_mub_per_fu": 0.00, "raw_formation_energy_ev_per_atom": -0.57}

(3)
{"formula": "SrGeSb", "functional": "PBE", "state": "optimized geometry", "lattice": [[4.855, 0.000, 0.000], [-2.428, 4.205, 0.000], [0.000, 0.000, 4.512]], "species": ["Sr", "Ge", "Sb"], "frac_coords": [[0.000, 0.000, 0.000], [0.333, 0.667, 0.500], [0.667, 0.333, 0.500]], "e_tot_ev_per_atom": -3.968, "space_group": "P-6m2", "dos_at_fermi_per_ev_fu": 1.2, "total_magnetization_mub_per_fu": 0.00, "raw_formation_energy_ev_per_atom": -0.49}

(4)
{"formula": "LaTb4PbS8", "functional": "PBE", "state": "optimized geometry", "lattice": [[4.076, 2.353, 6.898], [-4.076, 2.353, 6.898], [0.000, -4.707, 6.898]], "species": ["La", "Tb", "Tb", "Tb", "Tb", "Pb", "S", "S", "S", "S", "S", "S", "S", "S"], "frac_coords": [[0.000, 0.000, 0.000], [0.492, 0.999, 0.999], [0.624, 0.624, 0.624], [0.999, 0.492, 0.999], [0.999, 0.999, 0.492], [0.370, 0.370, 0.370], [0.228, 0.750, 0.750], [0.233, 0.233, 0.233], [0.243, 0.243, 0.784], [0.243, 0.784, 0.243], [0.750, 0.228, 0.750], [0.750, 0.750, 0.228], [0.755, 0.755, 0.755], [0.784, 0.243, 0.243]], "e_tot_ev_per_atom": -6.080, "space_group": "R3m", "dos_at_fermi_per_ev_fu": 4.5, "total_magnetization_mub_per_fu": 0.00, "raw_formation_energy_ev_per_atom": -1.78}

(5)
{"formula": "AlPF", "functional": "PBE", "state": "optimized geometry", "lattice": [[2.724, 0.000, 0.000], [1.332, 6.788, 0.000], [1.318, 3.005, 6.099]], "species": ["Al", "Al", "P", "P", "F", "F"], "frac_coords": [[0.229, 0.207, 0.337], [0.771, 0.793, 0.663], [0.110, 0.066, 0.725], [0.890, 0.934, 0.275], [0.319, 0.586, 0.772], [0.681, 0.414, 0.228]], "e_tot_ev_per_atom": -5.071, "space_group": "P-1", "dos_at_fermi_per_ev_fu": 0.7, "total_magnetization_mub_per_fu": 0.00, "raw_formation_energy_ev_per_atom": -1.40, "polymorph_energy_mev_per_atom": 253}

(6)
{"formula": "Na4Tl3I8", "functional": "PBE", "state": "optimized geometry", "lattice": [[6.619, -6.638, 0.000], [6.619, 6.638, 0.000], [-6.521, 0.000, 6.806]], "species": ["Na", "Na", "Na", "Na", "Tl", "Tl", "Tl", "I", "I", "I", "I", "I", "I", "I", "I"], "frac_coords": [[0.000, 0.000, 0.000], [0.000, 0.000, 0.500], [0.000, 0.500, 0.000], [0.500, 0.000, 0.000], [0.000, 0.500, 0.500], [0.500, 0.000, 0.500], [0.500, 0.500, 0.000], [0.228, 0.228, 0.974], [0.240, 0.240, 0.485], [0.241, 0.759, 0.000], [0.248, 0.752, 0.500], [0.752, 0.248, 0.500], [0.759, 0.241, 0.000], [0.760, 0.760, 0.515], [0.772, 0.772, 0.026]], "e_tot_ev_per_atom": -2.549, "space_group": "C2/m", "dos_at_fermi_per_ev_fu": 7.3, "total_magnetization_mub_per_fu": 0.00, "raw_formation_energy_ev_per_atom": -0.90}